# MnFeAs2O8, optimized geometry, DFT PBE+U
data_MnFeAs2O8
_chemical_formula_sum 'Mn2 Fe2 As4 O16'
_symmetry_space_group_name_H-M 'I -4 m 2'
_symmetry_Int_Tables_number 119
_symmetry_space_group_name_Hall 'I -4 -2'
_cell_length_a 6.566
_cell_length_b 6.566
_cell_length_c 6.301
_cell_angle_alpha 90.00
_cell_angle_beta 90.00
_cell_angle_gamma 90.00
loop_
_atom_site_label
_atom_site_fract_x
_atom_site_fract_y
_atom_site_fract_z
Mn1 0.000 0.000 0.000
Fe1 0.000 0.500 0.750
As1 0.000 0.000 0.500
As2 0.000 0.500 0.250
O1 0.000 0.194 0.683
O2 0.000 0.310 0.060
# V, Å³ per cell: 271.7
# Uncorrected energy, eV per atom: -6.3551